Version i
Entry from the Alexandria database: Pr6TlGa after structural relaxation (PBE-GGA).

Cell and atoms, written as POSCAR:
```
Pr6TlGa
1.0
4.967 0.000 0.000
0.000 4.967 0.000
0.000 0.000 9.926
Ga Pr Tl
1 6 1
Cartesian
0.000 0.000 4.963 Ga
0.000 2.484 7.361 Pr
2.484 2.484 0.000 Pr
0.000 2.484 2.565 Pr
2.484 2.484 4.963 Pr
2.484 0.000 7.361 Pr
2.484 0.000 2.565 Pr
0.000 0.000 0.000 Tl
```

Results
crystal system: tetragonal
symmetry: P4/mmm

***

Version ii
Entry from the Alexandria database: Pr6TlGa after structural relaxation (PBE-GGA).

Cell and atoms, written as POSCAR:
```
Pr6TlGa
1.0
7.101 -0.344 -0.550
-2.961 6.463 -0.550
-1.248 -1.845 6.626
Ga Pr Tl
1 6 1
Cartesian
1.446 2.137 2.763 Ga
-1.153 2.674 1.345 Pr
0.166 0.246 4.627 Pr
2.725 4.029 0.899 Pr
2.911 -0.076 1.345 Pr
4.045 1.601 4.181 Pr
-0.019 4.350 4.181 Pr
0.000 0.000 0.000 Tl
```

Results
crystal system: monoclinic
symmetry: C2/m

***

In terms of stability, version i leads; the second structure lies 229 meV per atom higher.

***

Version i
Entry from the Alexandria database: Pr2TlGa2 after structural relaxation (PBE-GGA).

Cell and atoms, written as POSCAR:
```
Pr2TlGa2
1.0
4.572 0.000 0.000
0.000 7.563 0.000
0.000 0.000 7.563
Pr Ga Tl
4 4 2
Cartesian
2.286 2.465 1.316 Pr
2.286 1.316 5.098 Pr
2.286 5.098 6.247 Pr
2.286 6.247 2.465 Pr
0.000 2.860 6.641 Ga
0.000 4.704 0.922 Ga
0.000 6.641 4.704 Ga
0.000 0.922 2.860 Ga
0.000 3.782 3.782 Tl
0.000 0.000 0.000 Tl
```

Results
crystal system: tetragonal
symmetry: P4/mbm

***

Version ii
Entry from the Alexandria database: Pr2TlGa2 after structural relaxation (PBE-GGA).

Cell and atoms, written as POSCAR:
```
Pr2TlGa2
1.0
3.817 0.000 0.000
0.000 4.195 -1.193
0.000 0.040 8.114
Ga Tl Pr
2 1 2
Cartesian
0.000 0.876 3.083 Ga
0.000 3.358 3.839 Ga
0.000 0.000 0.000 Tl
1.909 2.641 1.314 Pr
1.909 1.594 5.607 Pr
```

Results
crystal system: orthorhombic
symmetry: Cmmm

***

In terms of stability, version ii leads; the second structure lies 11 meV per atom higher.